Model w:
A relaxed structure of SiAgS3. Source: Alexandria, functional GGA-PBE.

a = 5.8111 Å, b = 6.2694 Å, c = 6.2694 Å
α = 120.00°, β = 90.00°, γ = 90.00°
With the nearest neighbours (Å) after each atom.
Element x y z (fractional)
1 Ag 0.7500 0.3333 0.6667  6 S 2.68
2 Ag 0.2500 0.6667 0.3333  6 S 2.68
3 S 0.5000 0.2847 0.2847  2 Si 2.30
4 S 0.0000 0.0000 0.2847  2 Si 2.30
5 S 0.0000 0.2847 0.0000  2 Si 2.30
6 S 0.5000 0.0000 0.7153  2 Si 2.30
7 S 0.5000 0.7153 0.0000  2 Si 2.30
8 S 0.0000 0.7153 0.7153  2 Si 2.30
9 Si 0.2500 0.0000 0.0000  6 S 2.30
10 Si 0.7500 0.0000 0.0000  6 S 2.30

Values from the calculation:
Symmetry: No. 182

Model x:
A relaxed structure of SiAgS3. Source: Alexandria, functional GGA-PBE.

a = 4.5537 Å, b = 4.5537 Å, c = 4.5537 Å
α = 90.00°, β = 90.00°, γ = 90.00°
With the nearest neighbours (Å) after each atom.
Element x y z (fractional)
1 Ag 0.5000 0.5000 0.5000  12 S 3.22
2 Si 0.0000 0.0000 0.0000  6 S 2.28
3 S 0.0000 0.5000 0.0000  2 Si 2.28
4 S 0.5000 0.0000 0.0000  2 Si 2.28
5 S 0.0000 0.0000 0.5000  2 Si 2.28

Values from the calculation:
Symmetry: No. 221

Model y:
A relaxed structure of SiAgS3. Source: Alexandria, functional GGA-PBE.

a = 5.8995 Å, b = 7.2712 Å, c = 10.6096 Å
α = 90.00°, β = 90.00°, γ = 90.00°
With the nearest neighbours (Å) after each atom.
Element x y z (fractional)
1 Ag 0.0000 0.5000 0.5000  2 S 2.47
2 Ag 0.5000 0.0000 0.0000  2 S 2.47
3 Ag 0.5000 0.0000 0.5000  2 S 2.47
4 Ag 0.0000 0.5000 0.0000  2 S 2.47
5 S 0.6805 0.1231 0.7500  2 Si 2.16-2.21
6 S 0.8719 0.0704 0.0947  1 Si 2.10
7 S 0.3719 0.4296 0.4053  1 Si 2.10
8 S 0.6281 0.5704 0.5947  1 Si 2.10
9 S 0.6281 0.5704 0.9053  1 Si 2.10
10 S 0.1281 0.9296 0.9053  1 Si 2.10
11 S 0.8719 0.0704 0.4053  1 Si 2.10
12 S 0.8195 0.6231 0.2500  2 Si 2.16-2.21
13 S 0.3195 0.8769 0.2500  2 Si 2.16-2.21
14 S 0.3719 0.4296 0.0947  1 Si 2.10
15 S 0.1805 0.3769 0.7500  2 Si 2.16-2.21
16 S 0.1281 0.9296 0.5947  1 Si 2.10
17 Si 0.5535 0.4012 0.7500  4 S 2.10-2.21
18 Si 0.4465 0.5988 0.2500  4 S 2.10-2.21
19 Si 0.0535 0.0988 0.7500  4 S 2.10-2.21
20 Si 0.9465 0.9012 0.2500  4 S 2.10-2.21

Values from the calculation:
Symmetry: No. 62

In order of decreasing stability: model y, model w, model x.

Model w:
A relaxed structure of AgSn2S4. Source: Alexandria, functional GGA-PBE.

a = 7.9273 Å, b = 7.7892 Å, c = 13.4473 Å
α = 106.96°, β = 90.00°, γ = 120.59°
With the nearest neighbours (Å) after each atom.
Element x y z (fractional)
1 Sn 0.2638 0.0000 0.2500  6 S 2.60-2.67
2 Sn 0.5000 0.0000 0.0000  6 S 2.58-2.65
3 Sn 0.7362 0.0000 0.7500  6 S 2.60-2.67
4 Sn 0.0000 0.0000 0.5000  6 S 2.81-2.85
5 Sn 0.5000 0.5000 0.5000  6 S 2.62-2.70
6 Sn 0.5000 0.0000 0.5000  6 S 2.58-2.65
7 Sn 0.0000 0.5000 0.0000  6 S 2.62-2.70
8 Sn 0.0000 0.0000 0.0000  6 S 2.81-2.85
9 Ag 0.4274 0.3706 0.8125  4 S 2.53-2.56
10 Ag 0.5726 0.6294 0.1875  4 S 2.53-2.56
11 Ag 0.9432 0.3706 0.3125  4 S 2.53-2.56
12 Ag 0.0568 0.6294 0.6875  4 S 2.53-2.56
13 S 0.3863 0.2259 0.1265  1 Ag 2.55, 3 Sn 2.58-2.85
14 S 0.1423 0.7503 0.8870  1 Ag 2.53, 3 Sn 2.61-2.81
15 S 0.3920 0.2497 0.6130  1 Ag 2.53, 3 Sn 2.61-2.81
16 S 0.3856 0.7546 0.6185  1 Ag 2.56, 3 Sn 2.65-2.70
17 S 0.6137 0.7741 0.8735  1 Ag 2.55, 3 Sn 2.58-2.85
18 S 0.6144 0.2454 0.3815  1 Ag 2.56, 3 Sn 2.65-2.70
19 S 0.6080 0.7503 0.3870  1 Ag 2.53, 3 Sn 2.61-2.81
20 S 0.1604 0.7741 0.3735  1 Ag 2.55, 3 Sn 2.58-2.85
21 S 0.8577 0.2497 0.1130  1 Ag 2.53, 3 Sn 2.61-2.81
22 S 0.8396 0.2259 0.6265  1 Ag 2.55, 3 Sn 2.58-2.85
23 S 0.3690 0.7546 0.1185  1 Ag 2.56, 3 Sn 2.65-2.70
24 S 0.6310 0.2454 0.8815  1 Ag 2.56, 3 Sn 2.65-2.70
25 S 0.1602 0.2494 0.3681  1 Ag 2.54, 3 Sn 2.61-2.83
26 S 0.8398 0.7506 0.6319  1 Ag 2.54, 3 Sn 2.61-2.83
27 S 0.9107 0.7506 0.1319  1 Ag 2.54, 3 Sn 2.61-2.83
28 S 0.0893 0.2494 0.8681  1 Ag 2.54, 3 Sn 2.61-2.83

Values from the calculation:
Symmetry: No. 15

Model x:
A relaxed structure of AgSn2S4. Source: Alexandria, functional GGA-PBE.

a = 7.7848 Å, b = 7.8435 Å, c = 7.8435 Å
α = 59.69°, β = 60.25°, γ = 60.25°
With the nearest neighbours (Å) after each atom.
Element x y z (fractional)
1 S 0.2654 0.2500 0.2192  2 Sn 2.48-2.62, 2 Ag 2.68
2 S 0.7346 0.2808 0.2500  2 Sn 2.48-2.62, 2 Ag 2.68
3 S 0.2611 0.7478 0.2478  3 Sn 2.58-2.71, 1 Ag 2.77
4 S 0.7389 0.2522 0.7522  3 Sn 2.58-2.71, 1 Ag 2.77
5 S 0.2654 0.7192 0.7500  2 Sn 2.48-2.62, 2 Ag 2.68
6 S 0.7433 0.7478 0.2478  3 Sn 2.58-2.71, 1 Ag 2.77
7 S 0.2567 0.2522 0.7522  3 Sn 2.58-2.71, 1 Ag 2.77
8 S 0.7346 0.7500 0.7808  2 Sn 2.48-2.62, 2 Ag 2.68
9 Sn 0.5000 0.0000 0.0000  6 S 2.62-2.71
10 Sn 0.1426 0.1074 0.6074  4 S 2.48-2.58
11 Sn 0.8574 0.8926 0.3926  4 S 2.48-2.58
12 Sn 0.5000 0.5000 0.5000  6 S 2.62-2.71
13 Ag 0.0000 0.5000 0.0000  6 S 2.68-2.77
14 Ag 0.5000 0.5000 0.0000  6 S 2.68-2.77

Values from the calculation:
Symmetry: No. 74

In order of decreasing stability: model w, model x.

Model w:
A relaxed structure of Ag4Sn3S8. Source: Alexandria, functional GGA-PBE.

a = 7.6391 Å, b = 7.6391 Å, c = 7.9854 Å
α = 61.42°, β = 61.42°, γ = 60.00°
With the nearest neighbours (Å) after each atom.
Element x y z (fractional)
1 Sn 0.0000 0.0000 0.5000  6 S 2.61-2.65
2 Sn 0.0000 0.5000 0.5000  6 S 2.61-2.65
3 Sn 0.5000 0.0000 0.5000  6 S 2.61-2.65
4 S 0.7530 0.2188 0.2753  2 Sn 2.61, 3 Ag 2.67-2.79
5 S 0.2470 0.2470 0.7247  2 Sn 2.61, 3 Ag 2.67-2.79
6 S 0.2470 0.7812 0.7247  2 Sn 2.61, 3 Ag 2.67-2.79
7 S 0.2403 0.2403 0.2790  1 Ag 2.44, 3 Sn 2.65
8 S 0.7812 0.2470 0.7247  2 Sn 2.61, 3 Ag 2.67-2.79
9 S 0.7530 0.7530 0.2753  2 Sn 2.61, 3 Ag 2.67-2.79
10 S 0.2188 0.7530 0.2753  2 Sn 2.61, 3 Ag 2.67-2.79
11 S 0.7597 0.7597 0.7210  1 Ag 2.44, 3 Sn 2.65
12 Ag 0.5000 0.5000 0.5000  2 Ag 2.75, 6 S 2.79
13 Ag 0.0000 0.0000 0.0000  6 S 2.75
14 Ag 0.3625 0.3625 0.9125  4 S 2.44-2.67
15 Ag 0.6375 0.6375 0.0875  4 S 2.44-2.67

Values from the calculation:
Symmetry: No. 166

Model x:
A relaxed structure of Ag4Sn3S8. Source: Alexandria, functional GGA-PBE.

a = 10.8956 Å, b = 10.8956 Å, c = 10.8956 Å
α = 90.00°, β = 90.00°, γ = 90.00°
With the nearest neighbours (Å) after each atom.
Element x y z (fractional)
1 S 0.3872 0.3530 0.6383  2 Sn 2.58-2.59, 3 Ag 2.61-2.87
2 S 0.3628 0.1117 0.3970  2 Sn 2.58-2.59, 3 Ag 2.61-2.87
3 S 0.6117 0.1030 0.6372  2 Sn 2.58-2.59, 3 Ag 2.61-2.87
4 S 0.3970 0.3628 0.1117  2 Sn 2.58-2.59, 3 Ag 2.61-2.87
5 S 0.8628 0.3883 0.6030  2 Sn 2.58-2.59, 3 Ag 2.61-2.87
6 S 0.8872 0.1470 0.3617  2 Sn 2.58-2.59, 3 Ag 2.61-2.87
7 S 0.1383 0.1128 0.6470  2 Sn 2.58-2.59, 3 Ag 2.61-2.87
8 S 0.6275 0.3725 0.8725  3 Sn 2.65, 3 Ag 2.89
9 S 0.6383 0.3872 0.3530  2 Sn 2.58-2.59, 3 Ag 2.61-2.87
10 S 0.6372 0.6117 0.1030  2 Sn 2.58-2.59, 3 Ag 2.61-2.87
11 S 0.1117 0.3970 0.3628  2 Sn 2.58-2.59, 3 Ag 2.61-2.87
12 S 0.1372 0.8883 0.8970  2 Sn 2.58-2.59, 3 Ag 2.61-2.87
13 S 0.8530 0.8617 0.6128  2 Sn 2.58-2.59, 3 Ag 2.61-2.87
14 S 0.1275 0.1275 0.1275  3 Sn 2.65, 3 Ag 2.89
15 S 0.6470 0.1383 0.1128  2 Sn 2.58-2.59, 3 Ag 2.61-2.87
16 S 0.3775 0.1225 0.8775  3 Sn 2.65, 3 Ag 2.89
17 S 0.1470 0.3617 0.8872  2 Sn 2.58-2.59, 3 Ag 2.61-2.87
18 S 0.8775 0.3775 0.1225  3 Sn 2.65, 3 Ag 2.89
19 S 0.8617 0.6128 0.8530  2 Sn 2.58-2.59, 3 Ag 2.61-2.87
20 S 0.3530 0.6383 0.3872  2 Sn 2.58-2.59, 3 Ag 2.61-2.87
21 S 0.3883 0.6030 0.8628  2 Sn 2.58-2.59, 3 Ag 2.61-2.87
22 S 0.3725 0.8725 0.6275  3 Sn 2.65, 3 Ag 2.89
23 S 0.8970 0.1372 0.8883  2 Sn 2.58-2.59, 3 Ag 2.61-2.87
24 S 0.1128 0.6470 0.1383  2 Sn 2.58-2.59, 3 Ag 2.61-2.87
25 S 0.1030 0.6372 0.6117  2 Sn 2.58-2.59, 3 Ag 2.61-2.87
26 S 0.3617 0.8872 0.1470  2 Sn 2.58-2.59, 3 Ag 2.61-2.87
27 S 0.6225 0.6225 0.6225  3 Sn 2.65, 3 Ag 2.89
28 S 0.8725 0.6275 0.3725  3 Sn 2.65, 3 Ag 2.89
29 S 0.6030 0.8628 0.3883  2 Sn 2.58-2.59, 3 Ag 2.61-2.87
30 S 0.1225 0.8775 0.3775  3 Sn 2.65, 3 Ag 2.89
31 S 0.8883 0.8970 0.1372  2 Sn 2.58-2.59, 3 Ag 2.61-2.87
32 S 0.6128 0.8530 0.8617  2 Sn 2.58-2.59, 3 Ag 2.61-2.87
33 Sn 0.8750 0.3842 0.3658  6 S 2.58-2.65
34 Sn 0.1158 0.6342 0.3750  6 S 2.58-2.65
35 Sn 0.3842 0.3658 0.8750  6 S 2.58-2.65
36 Sn 0.6250 0.6158 0.8658  6 S 2.58-2.65
37 Sn 0.3750 0.1158 0.6342  6 S 2.58-2.65
38 Sn 0.8658 0.6250 0.6158  6 S 2.58-2.65
39 Sn 0.8842 0.1342 0.1250  6 S 2.58-2.65
40 Sn 0.3658 0.8750 0.3842  6 S 2.58-2.65
41 Sn 0.1342 0.1250 0.8842  6 S 2.58-2.65
42 Sn 0.6158 0.8658 0.6250  6 S 2.58-2.65
43 Sn 0.6342 0.3750 0.1158  6 S 2.58-2.65
44 Sn 0.1250 0.8842 0.1342  6 S 2.58-2.65
45 Ag 0.3578 0.6078 0.6250  6 S 2.61-2.89
46 Ag 0.6250 0.1250 0.3750  6 S 2.87
47 Ag 0.8750 0.8750 0.8750  6 S 2.87
48 Ag 0.6422 0.1078 0.8750  6 S 2.61-2.89
49 Ag 0.6078 0.6250 0.3578  6 S 2.61-2.89
50 Ag 0.1078 0.8750 0.6422  6 S 2.61-2.89
51 Ag 0.8922 0.3750 0.8578  6 S 2.61-2.89
52 Ag 0.8578 0.8922 0.3750  6 S 2.61-2.89
53 Ag 0.1250 0.3750 0.6250  6 S 2.87
54 Ag 0.8750 0.6422 0.1078  6 S 2.61-2.89
55 Ag 0.3922 0.1250 0.1422  6 S 2.61-2.89
56 Ag 0.1250 0.1422 0.3922  6 S 2.61-2.89
57 Ag 0.3750 0.8578 0.8922  6 S 2.61-2.89
58 Ag 0.6250 0.3578 0.6078  6 S 2.61-2.89
59 Ag 0.3750 0.6250 0.1250  6 S 2.87
60 Ag 0.1422 0.3922 0.1250  6 S 2.61-2.89

Values from the calculation:
Symmetry: No. 213

In order of decreasing stability: model x, model w.

Model w:
A relaxed structure of AgSnS3. Source: Alexandria, functional GGA-PBE.

a = 6.4588 Å, b = 6.4588 Å, c = 7.6945 Å
α = 65.18°, β = 65.18°, γ = 60.00°
With the nearest neighbours (Å) after each atom.
Element x y z (fractional)
1 Ag 0.4239 0.4239 0.7284  3 S 2.42
2 Ag 0.5761 0.5761 0.2716  3 S 2.42
3 S 0.5765 0.2067 0.2620  1 Ag 2.42, 2 Sn 2.59
4 S 0.7933 0.0451 0.7380  1 Ag 2.42, 2 Sn 2.59
5 S 0.9549 0.5765 0.2620  1 Ag 2.42, 2 Sn 2.59
6 S 0.0451 0.4235 0.7380  1 Ag 2.42, 2 Sn 2.59
7 S 0.2067 0.9549 0.2620  1 Ag 2.42, 2 Sn 2.59
8 S 0.4235 0.7933 0.7380  1 Ag 2.42, 2 Sn 2.59
9 Sn 0.8343 0.8343 0.4971  6 S 2.59
10 Sn 0.1657 0.1657 0.5029  6 S 2.59

Values from the calculation:
Symmetry: No. 148

Model x:
A relaxed structure of AgSnS3. Source: Alexandria, functional GGA-PBE.

a = 3.6654 Å, b = 6.8893 Å, c = 7.1691 Å
α = 118.72°, β = 90.00°, γ = 90.00°
With the nearest neighbours (Å) after each atom.
Element x y z (fractional)
1 S 0.0000 0.7795 0.5590  2 Ag 2.41, 1 Sn 2.48
2 S 0.5000 0.8024 0.1060  2 Sn 2.54, 1 Ag 2.55
3 S 0.5000 0.3036 0.1060  2 Sn 2.54, 1 Ag 2.55
4 Ag 0.5000 0.9041 0.8082  4 S 2.41-2.55
5 Sn 0.0000 0.5824 0.1648  5 S 2.48-2.54

Values from the calculation:
Symmetry: No. 38

Model y:
A relaxed structure of AgSnS3. Source: Alexandria, functional GGA-PBE.

a = 4.8510 Å, b = 4.8510 Å, c = 4.8510 Å
α = 90.00°, β = 90.00°, γ = 90.00°
With the nearest neighbours (Å) after each atom.
Element x y z (fractional)
1 Ag 0.0000 0.0000 0.0000  6 S 2.43
2 S 0.0000 0.5000 0.0000  2 Ag 2.43
3 S 0.0000 0.0000 0.5000  2 Ag 2.43
4 S 0.5000 0.0000 0.0000  2 Ag 2.43
5 Sn 0.5000 0.5000 0.5000  12 S 3.43

Values from the calculation:
Symmetry: No. 221

In order of decreasing stability: model w, model x, model y.